[1]
## Cd2ReSi (PBE-GGA)

Data for crystalline Cd2ReSi at its relaxed geometry.

Properties
The uncorrected formation energy comes out at 0.64 eV per atom.

Lattice parameters (Å, degrees): 2.799 2.799 10.605 90.00 90.00 117.70
Atoms (fractional coordinates):
Si 0.500 0.500 0.750
Cd 0.000 0.000 0.489
Cd 0.000 0.000 0.011
Re 0.500 0.500 0.250

=====

[2]
## Ba2PuUN4 (PBE-GGA)

Data for crystalline Ba2PuUN4 at its relaxed geometry.

Properties
The uncorrected formation energy comes out at -1.02 eV per atom.

Lattice parameters (Å, degrees): 3.601 6.239 6.718 108.36 90.00 90.00
Site moments in Bohr magnetons follow the coordinates.
Atoms (fractional coordinates):
Ba 0.500 0.000 0.500  0.13
Ba 0.000 0.500 0.500  0.10
N 0.000 0.706 0.171  -0.08
N 0.000 0.294 0.829  -0.08
N 0.500 0.240 0.165  -0.14
N 0.500 0.760 0.835  -0.14
U 0.500 0.500 0.000  0.60
Pu 0.000 0.000 0.000  4.52

=====

[3]
## Y2TmHg6 (PBE-GGA)

Data for crystalline Y2TmHg6 at its relaxed geometry.

Properties
The value obtained for the formation energy is -0.40 eV per atom.

Lattice parameters (Å, degrees): 5.419 9.248 9.248 78.25 82.25 82.25
Atoms (fractional coordinates):
Tm 0.250 0.125 0.875
Tm 0.750 0.875 0.125
Hg 0.471 0.683 0.429
Hg 0.862 0.655 0.905
Hg 0.304 0.766 0.014
Hg 0.804 0.014 0.766
Hg 0.138 0.345 0.095
Hg 0.971 0.429 0.683
Hg 0.696 0.234 0.986
Hg 0.196 0.986 0.234
Hg 0.638 0.095 0.345
Hg 0.529 0.317 0.571
Hg 0.362 0.905 0.655
Hg 0.029 0.571 0.317
Y 0.583 0.459 0.208
Y 0.083 0.208 0.459
Y 0.417 0.541 0.792
Y 0.917 0.792 0.541

=====

[4]
## YHo8Mg2 (PBE-GGA)

Data for crystalline YHo8Mg2 at its relaxed geometry.

Properties
The value obtained for the formation energy is 0.15 eV per atom.

Lattice parameters (Å, degrees): 5.618 8.847 8.847 121.05 102.39 102.39
Atoms (fractional coordinates):
Ho 0.500 0.213 0.787
Ho 0.869 0.679 0.903
Ho 0.298 0.593 0.593
Ho 0.131 0.097 0.321
Ho 0.500 0.787 0.213
Ho 0.131 0.321 0.097
Ho 0.702 0.407 0.407
Ho 0.869 0.903 0.679
Y 0.500 0.000 0.000
Mg 0.000 0.307 0.693
Mg 0.000 0.693 0.307

=====

[5]
## BeH (PBE-GGA)

Data for crystalline BeH at its relaxed geometry.

Lattice parameters (Å, degrees): 2.244 3.604 8.357 90.00 102.77 90.00
Atoms (fractional coordinates):
H 0.603 0.677 0.626
H 0.397 0.677 0.374
H 0.603 0.177 0.126
H 0.397 0.177 0.874
Be 0.500 0.368 0.500
Be 0.500 0.868 0.000
Be 0.000 0.840 0.500
Be 0.000 0.340 0.000

=====

[6]
## Rb2NaCd7 (PBE-GGA)

Data for crystalline Rb2NaCd7 at its relaxed geometry.

Properties
The value obtained for the formation energy is -0.05 eV per atom.

Lattice parameters (Å, degrees): 4.948 4.948 13.192 90.00 90.00 90.00
Atoms (fractional coordinates):
Cd 0.500 0.000 0.369
Cd 0.500 0.500 0.500
Cd 0.500 0.000 0.144
Cd 0.000 0.000 0.000
Cd 0.000 0.000 0.500
Cd 0.000 0.500 0.631
Cd 0.000 0.500 0.856
Rb 0.000 0.500 0.258
Rb 0.500 0.000 0.742
Na 0.500 0.500 0.000

=====

[7]
## SnOsCl2 (PBE-GGA)

Data for crystalline SnOsCl2 at its relaxed geometry.

Properties
The uncorrected formation energy comes out at 0.31 eV per atom.

Lattice parameters (Å, degrees): 9.755 9.755 9.755 18.29 18.29 18.29
Atoms (fractional coordinates):
Cl 0.921 0.921 0.921
Cl 0.079 0.079 0.079
Sn 0.500 0.500 0.500
Os 0.000 0.000 0.000

=====

[8]
## AcPm8Sm6 (PBE-GGA)

Data for crystalline AcPm8Sm6 at its relaxed geometry.

Properties
The value obtained for the formation energy is 0.15 eV per atom.

Lattice parameters (Å, degrees): 9.470 9.470 8.734 57.17 57.17 60.00
Atoms (fractional coordinates):
Sm 0.450 0.894 0.925
Sm 0.894 0.731 0.925
Sm 0.269 0.550 0.075
Sm 0.731 0.450 0.925
Sm 0.106 0.269 0.075
Sm 0.550 0.106 0.075
Pm 0.918 0.349 0.507
Pm 0.428 0.428 0.715
Pm 0.349 0.226 0.507
Pm 0.082 0.651 0.493
Pm 0.651 0.774 0.493
Pm 0.572 0.572 0.285
Pm 0.226 0.918 0.507
Pm 0.774 0.082 0.493
Ac 0.000 0.000 0.000

=====

[9]
## TaPPdPb2 (PBE-GGA)

Data for crystalline TaPPdPb2 at its relaxed geometry.

Properties
The value obtained for the formation energy is 1.17 eV per atom.

Lattice parameters (Å, degrees): 5.647 5.017 5.647 90.00 90.00 90.00
Atoms (fractional coordinates):
Pb 0.000 0.000 0.500
Pb 0.500 0.000 0.000
P 0.500 0.500 0.500
Pd 0.000 0.500 0.000
Ta 0.000 0.000 0.000

=====

[10]
## Ce4PuN5 (PBE-GGA)

Data for crystalline Ce4PuN5 at its relaxed geometry.

Properties
The uncorrected formation energy comes out at -1.45 eV per atom.

Lattice parameters (Å, degrees): 3.551 3.551 12.839 97.95 97.95 90.00
Site moments in Bohr magnetons follow the coordinates.
Atoms (fractional coordinates):
Ce 0.200 0.200 0.400  0.10
Ce 0.599 0.599 0.199  0.36
Ce 0.800 0.800 0.600  0.10
Ce 0.401 0.401 0.801  0.36
N 0.300 0.300 0.600  -0.01
N 0.500 0.500 0.000  -0.18
N 0.700 0.700 0.400  -0.01
N 0.099 0.099 0.198  -0.06
N 0.901 0.901 0.802  -0.06
Pu 0.000 0.000 0.000  4.81

=====

[11]
## AgRh2Se (PBE-GGA)

Data for crystalline AgRh2Se at its relaxed geometry.

Properties
The uncorrected formation energy comes out at 0.20 eV per atom.

Lattice parameters (Å, degrees): 9.037 9.037 9.037 18.73 18.73 18.73
Site moments in Bohr magnetons follow the coordinates.
Atoms (fractional coordinates):
Se 0.512 0.512 0.512  -0.01
Rh 0.247 0.247 0.247  0.11
Rh 0.994 0.994 0.994  0.47
Ag 0.747 0.747 0.747  0.00

=====

[12]
## UVSe3 (PBE-GGA)

Data for crystalline UVSe3 at its relaxed geometry.

Properties
The uncorrected formation energy comes out at -0.83 eV per atom.

Lattice parameters (Å, degrees): 3.974 6.630 10.235 90.00 101.19 90.00
Site moments in Bohr magnetons follow the coordinates.
Atoms (fractional coordinates):
Se 0.913 0.298 0.827  -0.08
Se 0.749 0.653 0.498  -0.07
Se 0.087 0.798 0.173  -0.08
Se 0.251 0.153 0.502  -0.07
Se 0.598 0.360 0.196  -0.09
Se 0.402 0.860 0.804  -0.09
U 0.659 0.990 0.318  2.40
U 0.341 0.490 0.682  2.40
V 0.166 0.493 0.332  2.29
V 0.834 0.993 0.668  2.29

=====

| no. | E (eV per atom) |
| --- | --- |
| 1 | -4.288 |
| 2 | -8.868 |
| 3 | -2.531 |
| 4 | -4.056 |
| 5 | -3.334 |
| 6 | -1.014 |
| 7 | -4.423 |
| 8 | -4.544 |
| 9 | -4.800 |
| 10 | -9.415 |
| 11 | -5.062 |
| 12 | -7.006 |